Pr4SmTm6 | PBE | relaxed

M_tot	0.0	μB per formula unit

Unit cell a=9.688 b=9.688 c=9.688 alpha=58.44 beta=139.62 gamma=139.62
Positions (direct):
Pr1 0.000 0.634 0.015
Pr2 0.381 0.366 0.366
Pr3 0.000 0.015 0.634
Pr4 0.619 0.985 0.985
Sm1 0.000 0.000 0.000
Tm1 0.000 0.800 0.445
Tm2 0.000 0.445 0.800
Tm3 0.355 0.555 0.555
Tm4 0.500 0.500 0.000
Tm5 0.645 0.200 0.200
Tm6 0.500 0.000 0.500



Pr3SmTm3 | PBE | relaxed

M_tot	0.0	μB per formula unit

Unit cell a=5.782 b=9.680 c=9.677 alpha=120.01 beta=90.00 gamma=90.00
Positions (direct):
Pr1 0.750 0.755 0.807
Pr2 0.750 0.052 0.245
Pr3 0.750 0.193 0.948
Pr4 0.250 0.245 0.193
Pr5 0.250 0.948 0.755
Pr6 0.250 0.807 0.052
Sm1 0.750 0.333 0.667
Sm2 0.250 0.667 0.333
Tm1 0.250 0.519 0.615
Tm2 0.250 0.096 0.481
Tm3 0.250 0.385 0.904
Tm4 0.750 0.481 0.385
Tm5 0.750 0.904 0.519
Tm6 0.750 0.615 0.096



| no. | energy of formation from the pure elements (meV per atom) |
| --- | --- |
| 1 | 300 |
| 2 | 25 |